The following is a DFT calculation (GGA+U) of a relaxed structure of LiTaWO6.

a b c (Å): 7.3733 7.3733 7.3733
angles (deg): 120.35 119.59 90.06
Closest atoms and distances in Å follow each position.
Fractional coordinates of all 18 atoms:
Li  0.0000  0.0000  0.0000  6 O 2.61-2.65
Li  0.5000  0.0000  0.5000  6 O 2.61-2.65
Ta  0.5000  0.0000  0.0000  6 O 1.99
Ta  0.5000  0.5000  0.5000  6 O 1.99
W  0.0000  0.5000  0.5000  6 O 1.93-1.95
W  0.5000  0.5000  0.0000  6 O 1.93-1.95
O  0.1828  0.4329  0.3723  1 W 1.93, 1 Ta 1.99
O  0.1828  0.8106  0.7500  1 W 1.93, 1 Ta 1.99
O  0.1929  0.4429  0.7500  2 W 1.95
O  0.4264  0.1764  0.2500  2 Ta 1.99
O  0.4394  0.1894  0.8723  1 W 1.93, 1 Ta 1.99
O  0.4394  0.5671  0.2500  1 W 1.93, 1 Ta 1.99
O  0.5606  0.4329  0.7500  1 W 1.93, 1 Ta 1.99
O  0.5606  0.8106  0.1277  1 W 1.93, 1 Ta 1.99
O  0.5736  0.8236  0.7500  2 Ta 1.99
O  0.8071  0.5571  0.2500  2 W 1.95
O  0.8172  0.1894  0.2500  1 W 1.93, 1 Ta 1.99
O  0.8172  0.5671  0.6277  1 W 1.93, 1 Ta 1.99

## Properties
* energy above the most stable polymorph in this dataset: 35 meV per atom
* density of states at the Fermi level: 0.00 states/eV/atom
* M_tot: 0.0000 μB/atom